Y2Sc3Ni4 | GGA-PBE | relaxed

Summary:
space group: P2_1/c
total moment: 0.00 μB/f.u.
energy relative to the elements: -0.430 eV per atom
total energy: -6.55 eV/atom
ρ: 5.31 Mg/m³

a = 7.0221 Å, b = 7.0115 Å, c = 7.3277 Å
α = 90.00°, β = 108.39°, γ = 90.00°
Positions (direct):
Y 0.1959 0.1744 0.0839
Y 0.1959 0.3256 0.5839
Y 0.8041 0.6744 0.4161
Y 0.8041 0.8256 0.9161
Sc 0.2449 0.6674 0.2492
Sc 0.2449 0.8326 0.7492
Sc 0.5000 0.0000 0.5000
Sc 0.5000 0.5000 0.0000
Sc 0.7551 0.1674 0.2508
Sc 0.7551 0.3326 0.7508
Ni 0.0877 0.5393 0.8766
Ni 0.0877 0.9607 0.3766
Ni 0.4972 0.6259 0.6179
Ni 0.4972 0.8741 0.1179
Ni 0.5028 0.1259 0.8821
Ni 0.5028 0.3741 0.3821
Ni 0.9123 0.0393 0.6234
Ni 0.9123 0.4607 0.1234